# 1
Entry from the Alexandria database: a relaxed structure of CaMgRe2 (PBE-GGA).

Computed properties:
The density of states at the Fermi level is 0.622 states/eV per atom. The space group is Cmmm, No. 65. The energy of formation from the pure elements is 0.650 eV/atom. The total magnetization is 0.0 Bohr magnetons per cell.

Structure (CIF):
```
data_CaMgRe2
_chemical_formula_sum 'Ca1 Mg1 Re2'
_symmetry_space_group_name_H-M 'P 1'
_symmetry_Int_Tables_number 1
_symmetry_space_group_name_Hall 'P 1'
_cell_length_a 5.564
_cell_length_b 5.564
_cell_length_c 2.664
_cell_angle_alpha 90.00
_cell_angle_beta 90.00
_cell_angle_gamma 120.25
loop_
_atom_site_label
_atom_site_type_symbol
_atom_site_fract_x
_atom_site_fract_y
_atom_site_fract_z
Re1 Re 0.000 0.000 0.000
Mg1 Mg 0.000 0.500 0.500
Re2 Re 0.500 0.500 0.000
Ca1 Ca 0.500 0.000 0.500
```



# 2
Entry from the Alexandria database: a relaxed structure of Na3VI (PBE-GGA).

Computed properties:
The density of states at the Fermi level is 2.144 states/eV per atom. The space group is Pm-3m, No. 221. For the formation energy (no corrections), the calculation gives 0.5671 eV/atom. The polymorph energy (0 for the lowest one) is 0.56 eV/f.u. The total magnetization is 4.9 Bohr magnetons per cell.

Structure (CIF):
```
data_Na3VI
_chemical_formula_sum 'Na3 V1 I1'
_symmetry_space_group_name_H-M 'P 1'
_symmetry_Int_Tables_number 1
_symmetry_space_group_name_Hall 'P 1'
_cell_length_a 5.902
_cell_length_b 5.902
_cell_length_c 5.902
_cell_angle_alpha 90.00
_cell_angle_beta 90.00
_cell_angle_gamma 90.00
loop_
_atom_site_label
_atom_site_type_symbol
_atom_site_fract_x
_atom_site_fract_y
_atom_site_fract_z
Na1 Na 0.000 0.500 0.000
V1 V 0.000 0.000 0.000
I1 I 0.500 0.500 0.500
Na2 Na 0.000 0.000 0.500
Na3 Na 0.500 0.000 0.000
```



# 3
Entry from the Alexandria database: a relaxed structure of LuHfTcRu (PBE-GGA).

Computed properties:
The density of states at the Fermi level is 1.586 states/eV per atom. The space group is F-43m, No. 216. The energy of formation from the pure elements is -0.399 eV/atom. The total magnetization is 0.0 Bohr magnetons per cell.

Structure (CIF):
```
data_LuHfTcRu
_chemical_formula_sum 'Lu1 Hf1 Tc1 Ru1'
_symmetry_space_group_name_H-M 'P 1'
_symmetry_Int_Tables_number 1
_symmetry_space_group_name_Hall 'P 1'
_cell_length_a 4.661
_cell_length_b 4.661
_cell_length_c 4.661
_cell_angle_alpha 60.00
_cell_angle_beta 60.00
_cell_angle_gamma 60.00
loop_
_atom_site_label
_atom_site_type_symbol
_atom_site_fract_x
_atom_site_fract_y
_atom_site_fract_z
Lu1 Lu 0.500 0.500 0.500
Tc1 Tc 0.250 0.250 0.250
Hf1 Hf 0.000 0.000 0.000
Ru1 Ru 0.750 0.750 0.750
```



# 4
Entry from the Alexandria database: a relaxed structure of CaInBr2 (PBE-GGA).

Computed properties:
The density of states at the Fermi level is 0.532 states/eV per atom. The space group is R3m, No. 160. For the formation energy (no corrections), the calculation gives -0.9948 eV/atom. The polymorph energy (0 for the lowest one) is 1.13 eV/f.u. The total magnetization is 0.0 Bohr magnetons per cell.

Structure (CIF):
```
data_CaInBr2
_chemical_formula_sum 'Ca1 In1 Br2'
_symmetry_space_group_name_H-M 'P 1'
_symmetry_Int_Tables_number 1
_symmetry_space_group_name_Hall 'P 1'
_cell_length_a 9.758
_cell_length_b 9.758
_cell_length_c 9.758
_cell_angle_alpha 23.84
_cell_angle_beta 23.84
_cell_angle_gamma 23.84
loop_
_atom_site_label
_atom_site_type_symbol
_atom_site_fract_x
_atom_site_fract_y
_atom_site_fract_z
Br1 Br 0.018 0.018 0.018
Ca1 Ca 0.503 0.503 0.503
In1 In 0.751 0.751 0.751
Br2 Br 0.228 0.228 0.228
```



# 5
Entry from the Alexandria database: a relaxed structure of ZnSbTe2 (PBE-GGA).

Computed properties:
The density of states at the Fermi level is 0.421 states/eV per atom. The space group is P4mm, No. 99. For the formation energy (no corrections), the calculation gives 0.1990 eV/atom. The polymorph energy (0 for the lowest one) is 1.19 eV/f.u. The total magnetization is 0.0 Bohr magnetons per cell.

Structure (CIF):
```
data_ZnSbTe2
_chemical_formula_sum 'Zn1 Sb1 Te2'
_symmetry_space_group_name_H-M 'P 1'
_symmetry_Int_Tables_number 1
_symmetry_space_group_name_Hall 'P 1'
_cell_length_a 3.463
_cell_length_b 3.463
_cell_length_c 9.073
_cell_angle_alpha 90.00
_cell_angle_beta 90.00
_cell_angle_gamma 90.00
loop_
_atom_site_label
_atom_site_type_symbol
_atom_site_fract_x
_atom_site_fract_y
_atom_site_fract_z
Te1 Te 0.000 0.000 0.970
Zn1 Zn 0.000 0.000 0.503
Te2 Te 0.500 0.500 0.337
Sb1 Sb 0.500 0.500 0.689
```



# 6
Entry from the Alexandria database: a relaxed structure of Fe2SiHg (PBE-GGA).

Computed properties:
The density of states at the Fermi level is 0.859 states/eV per atom. The space group is Immm, No. 71. For the formation energy (no corrections), the calculation gives 0.3067 eV/atom. The polymorph energy (0 for the lowest one) is 0.91 eV/f.u. The total magnetization is 4.0 Bohr magnetons per cell.

Structure (CIF):
```
data_Fe2SiHg
_chemical_formula_sum 'Fe2 Si1 Hg1'
_symmetry_space_group_name_H-M 'P 1'
_symmetry_Int_Tables_number 1
_symmetry_space_group_name_Hall 'P 1'
_cell_length_a 4.679
_cell_length_b 4.679
_cell_length_c 4.679
_cell_angle_alpha 136.78
_cell_angle_beta 122.30
_cell_angle_gamma 74.75
loop_
_atom_site_label
_atom_site_type_symbol
_atom_site_fract_x
_atom_site_fract_y
_atom_site_fract_z
Si1 Si 0.250 0.750 0.500
Fe1 Fe 0.459 0.459 0.000
Fe2 Fe 0.041 0.041 0.000
Hg1 Hg 0.750 0.250 0.500
```



# 7
Entry from the Alexandria database: a relaxed structure of La2Mg3Ru2 (PBE-GGA).

Computed properties:
The density of states at the Fermi level is 0.568 states/eV per atom. The space group is C2/m, No. 12. The energy of formation from the pure elements is -0.172 eV/atom. The total magnetization is 0.0 Bohr magnetons per cell.

Structure (CIF):
```
data_La2Mg3Ru2
_chemical_formula_sum 'La2 Mg3 Ru2'
_symmetry_space_group_name_H-M 'P 1'
_symmetry_Int_Tables_number 1
_symmetry_space_group_name_Hall 'P 1'
_cell_length_a 4.511
_cell_length_b 5.706
_cell_length_c 7.089
_cell_angle_alpha 98.38
_cell_angle_beta 90.00
_cell_angle_gamma 113.29
loop_
_atom_site_label
_atom_site_type_symbol
_atom_site_fract_x
_atom_site_fract_y
_atom_site_fract_z
La1 La 0.369 0.738 0.640
Ru1 Ru 0.920 0.840 0.351
La2 La 0.631 0.262 0.360
Mg1 Mg 0.322 0.643 0.138
Mg2 Mg 0.678 0.357 0.862
Ru2 Ru 0.080 0.160 0.649
Mg3 Mg 0.000 0.000 0.000
```



# 8
Entry from the Alexandria database: a relaxed structure of Be2TcI (PBE-GGA).

Computed properties:
The density of states at the Fermi level is 0.598 states/eV per atom. The space group is I-42d, No. 122. For the formation energy (no corrections), the calculation gives 1.1761 eV/atom. The polymorph energy (0 for the lowest one) is 0.09 eV/f.u. The total magnetization is 3.9 Bohr magnetons per cell.

Structure (CIF):
```
data_Be2TcI
_chemical_formula_sum 'Be4 Tc2 I2'
_symmetry_space_group_name_H-M 'P 1'
_symmetry_Int_Tables_number 1
_symmetry_space_group_name_Hall 'P 1'
_cell_length_a 5.916
_cell_length_b 5.916
_cell_length_c 6.224
_cell_angle_alpha 61.62
_cell_angle_beta 61.62
_cell_angle_gamma 90.00
loop_
_atom_site_label
_atom_site_type_symbol
_atom_site_fract_x
_atom_site_fract_y
_atom_site_fract_z
I1 I 0.750 0.250 0.500
Be1 Be 0.596 0.125 0.250
Be2 Be 0.875 0.846 0.750
Tc1 Tc 0.250 0.750 0.500
Be3 Be 0.154 0.625 0.250
I2 I 0.000 0.000 0.000
Be4 Be 0.375 0.404 0.750
Tc2 Tc 0.500 0.500 0.000
```



# 9
Entry from the Alexandria database: a relaxed structure of AcYSnPb (PBE-GGA).

Computed properties:
The density of states at the Fermi level is 1.283 states/eV per atom. The space group is F-43m, No. 216. The energy of formation from the pure elements is -0.473 eV/atom. The total magnetization is 0.0 Bohr magnetons per cell.

Structure (CIF):
```
data_AcYSnPb
_chemical_formula_sum 'Ac1 Y1 Sn1 Pb1'
_symmetry_space_group_name_H-M 'P 1'
_symmetry_Int_Tables_number 1
_symmetry_space_group_name_Hall 'P 1'
_cell_length_a 5.643
_cell_length_b 5.643
_cell_length_c 5.643
_cell_angle_alpha 60.00
_cell_angle_beta 60.00
_cell_angle_gamma 60.00
loop_
_atom_site_label
_atom_site_type_symbol
_atom_site_fract_x
_atom_site_fract_y
_atom_site_fract_z
Ac1 Ac 0.250 0.250 0.250
Y1 Y 0.750 0.750 0.750
Sn1 Sn 0.000 0.000 0.000
Pb1 Pb 0.500 0.500 0.500
```



# 10
Entry from the Alexandria database: a relaxed structure of Ti2InFe (PBE-GGA).

Computed properties:
The density of states at the Fermi level is 1.069 states/eV per atom. The space group is F-43m, No. 216. The energy of formation from the pure elements is -0.020 eV/atom. The total magnetization is 1.0 Bohr magnetons per cell.

Structure (CIF):
```
data_Ti2InFe
_chemical_formula_sum 'Ti2 In1 Fe1'
_symmetry_space_group_name_H-M 'P 1'
_symmetry_Int_Tables_number 1
_symmetry_space_group_name_Hall 'P 1'
_cell_length_a 4.509
_cell_length_b 4.509
_cell_length_c 4.509
_cell_angle_alpha 60.00
_cell_angle_beta 60.00
_cell_angle_gamma 60.00
loop_
_atom_site_label
_atom_site_type_symbol
_atom_site_fract_x
_atom_site_fract_y
_atom_site_fract_z
Ti1 Ti 0.250 0.250 0.250
Ti2 Ti 0.000 0.000 0.000
In1 In 0.750 0.750 0.750
Fe1 Fe 0.500 0.500 0.500
```



# 11
Entry from the Alexandria database: a relaxed structure of H3AuSBr3 (PBE-GGA).

Computed properties:
For the total DFT energy (no corrections), the calculation gives -3.013 eV per atom. The density of states at the Fermi level is 0.208 states/eV per atom. The space group is Pc, No. 7. The total magnetization is 0.0 Bohr magnetons per cell.

Structure (CIF):
```
data_H3AuSBr3
_chemical_formula_sum 'H6 Au2 S2 Br6'
_symmetry_space_group_name_H-M 'P 1'
_symmetry_Int_Tables_number 1
_symmetry_space_group_name_Hall 'P 1'
_cell_length_a 8.270
_cell_length_b 5.400
_cell_length_c 8.353
_cell_angle_alpha 93.50
_cell_angle_beta 90.00
_cell_angle_gamma 90.00
loop_
_atom_site_label
_atom_site_type_symbol
_atom_site_fract_x
_atom_site_fract_y
_atom_site_fract_z
Br1 Br 0.987 0.436 0.503
S1 S 0.964 0.482 0.962
Br2 Br 0.224 0.949 0.167
H1 H 0.850 0.660 0.912
H2 H 0.599 0.660 0.412
Br3 Br 0.750 0.923 0.303
H3 H 0.419 0.462 0.311
Au1 Au 0.985 0.935 0.489
Au2 Au 0.464 0.935 0.989
S2 S 0.486 0.482 0.462
Br4 Br 0.226 0.950 0.666
Br5 Br 0.463 0.436 0.003
H4 H 0.072 0.662 0.025
H5 H 0.031 0.462 0.812
H6 H 0.377 0.662 0.525
Br6 Br 0.699 0.923 0.803
```



# 12
Entry from the Alexandria database: a relaxed structure of K2Tl8In3 (PBE-GGA).

Computed properties:
The density of states at the Fermi level is 0.556 states/eV per atom. The space group is C2/m, No. 12. The energy of formation from the pure elements is -0.019 eV/atom. The total magnetization is 0.0 Bohr magnetons per cell.

Structure (CIF):
```
data_K2Tl8In3
_chemical_formula_sum 'K2 Tl8 In3'
_symmetry_space_group_name_H-M 'P 1'
_symmetry_Int_Tables_number 1
_symmetry_space_group_name_Hall 'P 1'
_cell_length_a 6.969
_cell_length_b 7.027
_cell_length_c 9.557
_cell_angle_alpha 111.57
_cell_angle_beta 101.16
_cell_angle_gamma 90.00
loop_
_atom_site_label
_atom_site_type_symbol
_atom_site_fract_x
_atom_site_fract_y
_atom_site_fract_z
K1 K 0.310 0.185 0.370
Tl1 Tl 0.853 0.296 0.593
Tl2 Tl 0.360 0.561 0.122
Tl3 Tl 0.237 0.617 0.733
Tl4 Tl 0.237 0.116 0.733
Tl5 Tl 0.763 0.884 0.267
Tl6 Tl 0.147 0.704 0.407
In1 In 0.000 0.221 0.000
Tl7 Tl 0.640 0.439 0.878
Tl8 Tl 0.763 0.383 0.267
In2 In 0.500 0.000 0.000
In3 In 0.000 0.779 0.000
K2 K 0.690 0.815 0.630
```